Record 1
Entry from OQMD: a relaxed TbMg2Cd crystal (PBE-GGA).

Properties
The value obtained for the excess energy over the best structure of this formula in the dataset is 0.000 eV per formula unit. Its theoretical density is 5.62 Mg/m³.

Unit cell a=5.105 b=5.105 c=5.105 alpha=119.73 beta=119.73 gamma=90.46
Fractional coordinates of all 4 atoms:
Tb (0.000, 0.000, 0.000)
Mg (0.250, 0.750, 0.500)
Mg (0.500, 0.500, 0.000)
Cd (0.750, 0.250, 0.500)


Record 2
Entry from OQMD: a relaxed Tb5MgCd2 crystal (PBE-GGA).

Properties
The total energy is -0.2522 Ry/atom. Its theoretical density is 7.88 Mg/m³.

Unit cell a=5.444 b=6.780 c=6.780 alpha=61.49 beta=90.00 gamma=90.00
Fractional coordinates of all 8 atoms:
Tb (0.000, 0.000, 0.000)
Tb (0.000, 0.487, 0.992)
Tb (0.000, 0.992, 0.487)
Tb (0.500, 0.186, 0.669)
Tb (0.500, 0.669, 0.186)
Mg (0.500, 0.674, 0.674)
Cd (0.000, 0.498, 0.498)
Cd (0.500, 0.171, 0.171)


V, record by record: 23.62; 27.49 Å³ per atom